A plane-wave DFT calculation with GGA-PBE was carried out for TaZn2Re after structural relaxation.

Results
N(E_F) ... 5.4 states/eV/cell
ρ ... 12.26 g cm⁻³
V ... 135 Å³ per cell
Crystal system ... tetragonal
Symmetry ... I-42d
Energy relative to the elements ... 0.46 eV/atom
Offset from the most stable computed form ... 428 meV per atom

a b c (Å): 9.9868 9.9868 9.9868
angles (deg): 158.40 158.40 30.74
Fractional coordinates of all 8 atoms:
1 Ta 0.0000 0.0000 0.0000
2 Ta 0.7500 0.2500 0.5000
3 Zn 0.1417 0.6250 0.0167
4 Zn 0.3750 0.3917 0.5167
5 Zn 0.6083 0.1250 0.9833
6 Zn 0.8750 0.8583 0.4833
7 Re 0.2500 0.7500 0.5000
8 Re 0.5000 0.5000 0.0000